Entry 1:
A geometry-optimized PrPuO structure. Source: Alexandria via LeMat-Bulk, functional PBE.

Structure (POSCAR):
```
PrPuO
1.0
3.9029 0.0000 0.0000
-1.9514 7.1812 1.3015
0.0000 2.2264 6.3873
O Pu Pr
2 2 2
direct
0.1672 0.3344 0.5275 O
0.8328 0.6656 0.4725 O
0.0028 0.0056 0.2411 Pu
0.9972 0.9944 0.7589 Pu
0.2775 0.5549 0.7016 Pr
0.7225 0.4451 0.2984 Pr
```

Calculated values
For the formation energy without anion corrections, the calculation gives -1.427 eV per atom. The volume is 167.71 Å³/cell. For the spin magnetization, the calculation gives 2.110 μB/atom. For the polymorph energy (0 for the lowest one), the calculation gives 76.7 meV/atom.

***

Entry 2:
A geometry-optimized PrPuO4 structure. Source: Alexandria via LeMat-Bulk, functional PBE.

Structure (POSCAR):
```
PrPuO4
1.0
3.8401 0.0001 0.0002
-0.0001 3.8401 0.0012
0.0047 0.0083 5.5526
O Pu Pr
4 1 1
direct
0.0016 0.4981 0.7250 O
0.5009 0.9966 0.2713 O
0.5017 0.9980 0.7250 O
0.0010 0.4964 0.2713 O
0.0013 0.9973 0.4981 Pu
0.5013 0.4973 0.9981 Pr
```

Calculated values
For the formation energy without anion corrections, the calculation gives -3.042 eV per atom. The volume is 81.88 Å³/cell. For the spin magnetization, the calculation gives 0.500 μB/atom.

***

Entry 3:
A geometry-optimized PrPuO structure. Source: Alexandria via LeMat-Bulk, functional PBE.

Structure (POSCAR):
```
PrPuO
1.0
3.6380 0.0000 0.0000
-1.8190 3.1506 0.0000
0.0000 0.0000 5.9266
O Pr Pu
1 1 1
direct
0.3333 0.6667 0.6995 O
0.6667 0.3333 0.4142 Pr
0.0000 0.0000 0.8863 Pu
```

Calculated values
For the formation energy without anion corrections, the calculation gives -1.504 eV per atom. The volume is 67.93 Å³/cell. For the spin magnetization, the calculation gives 2.101 μB/atom. For the polymorph energy (0 for the lowest one), the calculation gives 0.0 meV/atom.

***

Entry 4:
A geometry-optimized Pr4Pu6O19 structure. Source: Alexandria via LeMat-Bulk, functional PBE.

Structure (POSCAR):
```
Pr4Pu6O19
1.0
8.0293 0.0000 -2.8388
-4.0146 6.9535 -2.8388
0.0000 0.0000 8.5163
Pu O Pr
6 19 4
direct
0.1730 0.6730 0.5000 Pu
0.8270 0.3270 0.5000 Pu
0.5000 0.8270 0.3270 Pu
0.3270 0.5000 0.8270 Pu
0.6730 0.5000 0.1730 Pu
0.5000 0.1730 0.6730 Pu
0.3563 0.3563 0.0000 O
0.6425 0.2387 0.9739 O
0.3563 0.0000 0.3563 O
0.9739 0.6425 0.2387 O
0.6686 0.0261 0.2648 O
0.6437 0.0000 0.6437 O
0.0000 0.6437 0.6437 O
0.2648 0.6686 0.0261 O
0.0000 0.3563 0.3563 O
0.2387 0.9739 0.6425 O
0.7613 0.4038 0.7352 O
0.5962 0.3575 0.3314 O
0.3575 0.3314 0.5962 O
0.0000 0.0000 0.0000 O
0.6437 0.6437 0.0000 O
0.7352 0.7613 0.4038 O
0.3314 0.5962 0.3575 O
0.0261 0.2648 0.6686 O
0.4038 0.7352 0.7613 O
0.0000 0.7089 0.0000 Pr
0.7089 0.0000 0.0000 Pr
0.2911 0.2911 0.2911 Pr
0.0000 0.0000 0.7089 Pr
```

Calculated values
For the formation energy without anion corrections, the calculation gives -2.987 eV per atom. The volume is 475.48 Å³/cell. For the spin magnetization, the calculation gives 0.759 μB/atom.

***

Entry 5:
A geometry-optimized Rb4PrPu3O12 structure. Source: Alexandria via LeMat-Bulk, functional PBE.

Structure (POSCAR):
```
Rb4PrPu3O12
1.0
7.5686 0.0000 0.0000
-2.5229 7.1358 0.0000
-2.5229 -3.5679 6.1797
Rb O Pu Pr
4 12 3 1
direct
0.5000 0.0000 0.0000 Rb
0.0000 0.5000 0.0000 Rb
0.0000 0.0000 0.5000 Rb
0.5000 0.5000 0.5000 Rb
0.2721 0.0000 0.2721 O
0.7500 0.2500 0.5000 O
0.2500 0.5000 0.7500 O
0.2721 0.2721 0.0000 O
0.5000 0.2500 0.7500 O
0.7279 0.0000 0.7279 O
0.2500 0.7500 0.5000 O
0.7500 0.5000 0.2500 O
0.0000 0.7279 0.7279 O
0.7279 0.7279 0.0000 O
0.0000 0.2721 0.2721 O
0.5000 0.7500 0.2500 O
0.5000 0.5000 0.0000 Pu
0.5000 0.0000 0.5000 Pu
0.0000 0.5000 0.5000 Pu
0.0000 0.0000 0.0000 Pr
```

Calculated values
For the formation energy without anion corrections, the calculation gives -2.523 eV per atom. The volume is 333.75 Å³/cell. For the spin magnetization, the calculation gives 0.350 μB/atom.

***

Entry 6:
A geometry-optimized Rb4Pr3PuO8 structure. Source: Alexandria via LeMat-Bulk, functional PBE.

Structure (POSCAR):
```
Rb4Pr3PuO8
1.0
7.3620 0.0000 0.0000
0.0000 7.8541 0.3356
-3.6810 -3.6731 5.2113
O Pr Rb Pu
8 3 4 1
direct
0.7769 0.3197 0.0428 O
0.2231 0.6803 0.9572 O
0.7342 0.6803 0.9572 O
0.2231 0.6803 0.4461 O
0.2658 0.3197 0.0428 O
0.7275 0.6825 0.4550 O
0.2725 0.3175 0.5450 O
0.7769 0.3197 0.5539 O
0.0000 0.5000 0.5000 Pr
0.5000 0.5000 0.5000 Pr
0.5000 0.5000 0.0000 Pr
0.0000 0.0000 0.0000 Rb
0.0000 0.0000 0.5000 Rb
0.5000 0.0000 0.5000 Rb
0.5000 0.0000 0.0000 Rb
0.0000 0.5000 0.0000 Pu
```

Calculated values
For the formation energy without anion corrections, the calculation gives -2.462 eV per atom. The volume is 310.40 Å³/cell. For the spin magnetization, the calculation gives 0.313 μB/atom.

***

Entry 7:
A geometry-optimized Rb3PrPu2O9 structure. Source: Alexandria via LeMat-Bulk, functional PBE.

Structure (POSCAR):
```
Rb3PrPu2O9
1.0
-5.9721 -1.6144 0.4209
3.0564 -0.7896 -5.3370
2.0460 -6.9932 2.2063
O Pu Rb Pr
9 2 3 1
direct
0.3591 0.1795 0.6861 O
0.8205 0.1795 0.6861 O
0.1795 0.8205 0.3139 O
0.1795 0.3591 0.3139 O
0.0000 0.5000 0.0000 O
0.8205 0.6409 0.6861 O
0.5000 0.0000 0.0000 O
0.6409 0.8205 0.3139 O
0.5000 0.5000 0.0000 O
0.3333 0.6667 0.1588 Pu
0.6667 0.3333 0.8412 Pu
0.0000 0.0000 0.0000 Rb
0.6667 0.3333 0.3362 Rb
0.3333 0.6667 0.6638 Rb
0.0000 0.0000 0.5000 Pr
```

Calculated values
For the formation energy without anion corrections, the calculation gives -2.491 eV per atom. The volume is 253.50 Å³/cell. For the spin magnetization, the calculation gives 0.267 μB/atom.

***

Entry 8:
A geometry-optimized Rb2PrPu3O12 structure. Source: Alexandria via LeMat-Bulk, functional PBE.

Structure (POSCAR):
```
Rb2PrPu3O12
1.0
7.1212 -0.5982 -0.4243
2.9966 6.4876 -0.4243
2.9966 1.7443 6.2631
Rb O Pu Pr
2 12 3 1
direct
0.3905 0.3905 0.3905 Rb
0.6095 0.6095 0.6095 Rb
0.7398 0.0907 0.7398 O
0.1286 0.1286 0.5914 O
0.8714 0.8714 0.4086 O
0.1286 0.5914 0.1286 O
0.2602 0.9093 0.2602 O
0.9093 0.2602 0.2602 O
0.5914 0.1286 0.1286 O
0.2602 0.2602 0.9093 O
0.7398 0.7398 0.0907 O
0.8714 0.4086 0.8714 O
0.4086 0.8714 0.8714 O
0.0907 0.7398 0.7398 O
0.5000 0.0000 0.0000 Pu
0.0000 0.5000 0.0000 Pu
0.0000 0.0000 0.5000 Pu
0.0000 0.0000 0.0000 Pr
```

Calculated values
For the formation energy without anion corrections, the calculation gives -2.511 eV per atom. The volume is 312.65 Å³/cell. For the spin magnetization, the calculation gives 0.278 μB/atom.

***

Entry 9:
A geometry-optimized Rb3Pr3PuO8 structure. Source: Alexandria via LeMat-Bulk, functional PBE.

Structure (POSCAR):
```
Rb3Pr3PuO8
1.0
-2.0807 -6.7824 1.7237
4.9822 1.0725 -5.2276
2.2308 1.2156 7.4760
O Pr Rb Pu
8 3 3 1
direct
0.2113 0.9572 0.6684 O
0.7887 0.5774 0.3316 O
0.2740 0.5480 0.3221 O
0.2541 0.0428 0.3316 O
0.2113 0.4226 0.6684 O
0.7459 0.9572 0.6684 O
0.7887 0.0428 0.3316 O
0.7260 0.4520 0.6779 O
0.5000 0.0000 0.5000 Pr
0.5000 0.5000 0.5000 Pr
0.0000 0.5000 0.5000 Pr
0.0000 0.5000 0.0000 Rb
0.5000 0.5000 0.0000 Rb
0.0000 0.0000 0.0000 Rb
0.0000 0.0000 0.5000 Pu
```

Calculated values
For the formation energy without anion corrections, the calculation gives -2.638 eV per atom. The volume is 308.13 Å³/cell. For the spin magnetization, the calculation gives 0.267 μB/atom.

***

Entry 10:
A geometry-optimized Rb3Pr2PuO6 structure. Source: Alexandria via LeMat-Bulk, functional PBE.

Structure (POSCAR):
```
Rb3Pr2PuO6
1.0
6.3640 -0.0009 0.0003
-3.1812 5.5118 0.0003
-1.0613 -1.8376 6.6067
O Pr Rb Pu
6 2 3 1
direct
0.3855 0.0601 0.1804 O
0.7348 0.7348 0.1805 O
0.6145 0.9399 0.8196 O
0.0601 0.3855 0.1804 O
0.9399 0.6145 0.8196 O
0.2652 0.2652 0.8195 O
0.6667 0.3333 0.0000 Pr
0.3333 0.6667 0.0000 Pr
0.5000 0.5000 0.5000 Rb
0.1661 0.8339 0.5000 Rb
0.8339 0.1661 0.5000 Rb
0.0000 0.0000 0.0000 Pu
```

Calculated values
For the formation energy without anion corrections, the calculation gives -2.440 eV per atom. The volume is 231.73 Å³/cell. For the spin magnetization, the calculation gives 0.417 μB/atom.

***

Entry 11:
A geometry-optimized Rb2PrPuO6 structure. Source: Alexandria via LeMat-Bulk, functional PBE.

Structure (POSCAR):
```
Rb2PrPuO6
1.0
6.2609 0.0000 0.0000
0.0000 6.2618 0.0000
0.0000 0.0000 8.8551
Rb Pu Pr O
4 2 2 12
direct
0.0000 0.2499 0.2500 Rb
0.5000 0.7501 0.2500 Rb
0.0000 0.2499 0.7500 Rb
0.5000 0.7501 0.7500 Rb
0.5000 0.2499 0.5000 Pu
0.0000 0.7501 0.0000 Pu
0.0000 0.7499 0.5000 Pr
0.5000 0.2501 0.0000 Pr
0.5000 0.2499 0.7292 O
0.7292 0.4791 0.5000 O
0.7708 0.9793 0.0000 O
0.7292 0.0207 0.5000 O
0.0000 0.7501 0.2292 O
0.5000 0.2499 0.2708 O
0.2292 0.9793 0.0000 O
0.7708 0.5209 0.0000 O
0.2708 0.4791 0.5000 O
0.0000 0.7501 0.7708 O
0.2292 0.5209 0.0000 O
0.2708 0.0207 0.5000 O
```

Calculated values
For the formation energy without anion corrections, the calculation gives -2.487 eV per atom. The volume is 347.16 Å³/cell. For the spin magnetization, the calculation gives 0.100 μB/atom.

***

Entry 12:
A geometry-optimized RbPr2PuO6 structure. Source: Alexandria via LeMat-Bulk, functional PBE.

Structure (POSCAR):
```
RbPr2PuO6
1.0
-3.6682 3.2989 -3.7277
-6.0510 0.4227 1.2000
-2.3282 5.6809 2.1899
O Rb Pu Pr
6 1 1 2
direct
0.5789 0.2611 0.2146 O
0.3402 0.6953 0.7710 O
0.2611 0.9453 0.2146 O
0.1935 0.3402 0.7710 O
0.6953 0.1935 0.7710 O
0.9453 0.5789 0.2146 O
0.7834 0.7835 0.6497 Rb
0.3233 0.3233 0.0301 Pu
0.5295 0.5295 0.4116 Pr
0.0110 0.0110 0.9669 Pr
```

Calculated values
For the formation energy without anion corrections, the calculation gives -2.843 eV per atom. The volume is 180.58 Å³/cell. For the spin magnetization, the calculation gives 0.300 μB/atom.